This record from Alexandria via LeMat-Bulk describes crystalline Al2PbAu9 at its relaxed geometry. The functional is GGA-PBE.

```
Al2PbAu9
1.0
-2.170 2.401 -0.085
-3.642 -3.022 7.658
6.672 6.038 0.265
Al Au Pb
2 9 1
Cartesian
-0.204 -0.002 5.193 Al
3.234 3.018 2.729 Al
-1.201 1.200 2.910 Au
3.632 5.522 1.623 Au
-2.773 -0.104 6.214 Au
-1.821 -1.511 3.829 Au
3.336 3.019 0.132 Au
1.515 1.508 3.961 Au
2.060 4.218 4.927 Au
0.753 2.917 1.509 Au
0.106 2.501 6.329 Au
0.000 0.000 0.000 Pb
```

Results
As for the space group: P6/mmm (191). The formation energy comes out at -0.1345 eV per atom. The calculation puts the density of states at the Fermi level at 3.777 states/eV/cell. The value obtained for the size of the total moment is 0.00 μB/cell. For the calculated total energy, the calculation gives -3.525 eV/atom.